[1]
This record from Alexandria via LeMat-Bulk describes crystalline LaTeMoI2 at its relaxed geometry. The functional is PBE.

a b c (Å): 6.2019 6.2019 6.2477
angles (deg): 90.00 90.00 90.00
Last column: magnetic moment on the atom in μB.
Positions (direct):
I: 0.0000 0.5000 0.0000  0.01
I: 0.5000 0.0000 0.0000  0.01
Mo: 0.5000 0.5000 0.5000  4.11
Te: 0.0000 0.0000 0.5000  -0.10
La: 0.0000 0.0000 0.0000  0.00

uncorrected formation energy	176	meV/atom
symmetry	P4/mmm (123)
total energy	-4.225	eV/atom


[2]
This record from Alexandria via LeMat-Bulk describes crystalline Sr2TiAlS5 at its relaxed geometry. The functional is PBE.

a b c (Å): 3.8277 8.8364 12.2667
angles (deg): 90.00 90.00 102.51
Last column: magnetic moment on the atom in μB.
Positions (direct):
Sr: 0.8693 0.7385 0.8135  0.01
Sr: 0.1191 0.2381 0.6833  0.00
Sr: 0.1307 0.2615 0.3135  0.01
Sr: 0.8809 0.7619 0.1833  0.00
Ti: 0.7865 0.5729 0.5270  0.86
Ti: 0.2135 0.4271 0.0270  0.86
Al: 0.5646 0.1292 0.9371  0.00
Al: 0.4354 0.8708 0.4371  0.00
S: 0.3502 0.7004 0.0030  -0.01
S: 0.6911 0.3822 0.8830  -0.01
S: 0.5014 0.0029 0.7801  0.00
S: 0.2923 0.5846 0.6566  -0.03
S: 0.9458 0.8917 0.5403  -0.01
S: 0.6498 0.2996 0.5030  -0.01
S: 0.3089 0.6178 0.3830  -0.01
S: 0.4986 0.9971 0.2801  0.00
S: 0.7077 0.4154 0.1566  -0.03
S: 0.0542 0.1083 0.0403  -0.01

uncorrected formation energy	-1617	meV/atom
symmetry	Cmc2_1 (36)
total energy	-5.576	eV/atom


[3]
This record from Alexandria via LeMat-Bulk describes crystalline Mg14VSi at its relaxed geometry. The functional is PBE.

a b c (Å): 6.2605 6.2605 10.1628
angles (deg): 90.00 90.00 120.87
Last column: magnetic moment on the atom in μB.
Positions (direct):
Mg: 0.8335 0.1665 0.0000  0.00
Mg: 0.3328 0.6672 0.0000  0.00
Mg: 0.3388 0.1643 0.5000  -0.01
Mg: 0.3310 0.1682 0.0000  0.00
Mg: 0.8357 0.6612 0.5000  -0.01
Mg: 0.8318 0.6690 0.0000  0.00
Mg: 0.1639 0.3348 0.2646  0.00
Mg: 0.1639 0.3348 0.7354  0.00
Mg: 0.6652 0.8361 0.2646  0.00
Mg: 0.6652 0.8361 0.7354  0.00
Mg: 0.6698 0.3302 0.2536  0.00
Mg: 0.6698 0.3302 0.7464  0.00
Mg: 0.1684 0.8316 0.2552  0.00
Mg: 0.1684 0.8316 0.7448  0.00
V: 0.8317 0.1683 0.5000  2.42
Si: 0.3300 0.6700 0.5000  -0.05

ΔE to the lowest computed polymorph	0.000	eV per atom
uncorrected formation energy	82	meV/atom
symmetry	Amm2 (38)
total energy	-2.222	eV/atom


[4]
This record from Alexandria via LeMat-Bulk describes crystalline K2EuCuCl6 at its relaxed geometry. The functional is PBE.

a b c (Å): 7.3732 7.3732 7.3732
angles (deg): 60.00 60.00 60.00
Last column: magnetic moment on the atom in μB.
Positions (direct):
K: 0.2500 0.2500 0.2500  0.00
K: 0.7500 0.7500 0.7500  0.00
Eu: 0.0000 0.0000 0.0000  6.54
Cu: 0.5000 0.5000 0.5000  -0.37
Cl: 0.2621 0.7379 0.2621  -0.04
Cl: 0.7379 0.7379 0.2621  -0.04
Cl: 0.7379 0.2621 0.7379  -0.04
Cl: 0.7379 0.2621 0.2621  -0.04
Cl: 0.2621 0.7379 0.7379  -0.04
Cl: 0.2621 0.2621 0.7379  -0.04

uncorrected formation energy	-1647	meV/atom
symmetry	Fm-3m (225)
total energy	-4.412	eV/atom


[5]
This record from Alexandria via LeMat-Bulk describes crystalline BaTa2MnSe8 at its relaxed geometry. The functional is PBE.

a b c (Å): 6.4553 6.4553 10.0050
angles (deg): 71.18 71.18 60.00
Last column: magnetic moment on the atom in μB.
Positions (direct):
Ba: 0.5000 0.5000 0.5000  0.00
Ta: 0.2572 0.2572 0.2283  0.09
Ta: 0.7428 0.7428 0.7717  0.09
Mn: 0.0000 0.0000 0.0000  3.23
Se: 0.1720 0.1720 0.4841  -0.02
Se: 0.6463 0.2743 0.1625  -0.08
Se: 0.8280 0.8280 0.5159  -0.02
Se: 0.9169 0.6463 0.1625  -0.08
Se: 0.0831 0.3537 0.8375  -0.08
Se: 0.2743 0.9169 0.1625  -0.08
Se: 0.7257 0.0831 0.8375  -0.08
Se: 0.3537 0.7257 0.8375  -0.08

uncorrected formation energy	-678	meV/atom
symmetry	R-3 (148)
total energy	-5.901	eV/atom


[6]
This record from Alexandria via LeMat-Bulk describes crystalline PaTi3Tl4O12 at its relaxed geometry. The functional is PBE.

a b c (Å): 7.0702 7.0702 7.0702
angles (deg): 109.47 109.47 109.47
Positions (direct):
Pa: 0.0000 0.0000 0.0000
Ti: 0.5000 0.0000 0.5000
Ti: 0.5000 0.5000 0.0000
Ti: 0.0000 0.5000 0.5000
Tl: 0.5000 0.5000 0.5000
Tl: 0.0000 0.0000 0.5000
Tl: 0.5000 0.0000 0.0000
Tl: 0.0000 0.5000 0.0000
O: 0.2500 0.5000 0.7500
O: 0.7373 0.0000 0.7373
O: 0.2627 0.0000 0.2627
O: 0.7500 0.5000 0.2500
O: 0.7373 0.7373 0.0000
O: 0.2627 0.2627 0.0000
O: 0.7500 0.2500 0.5000
O: 0.2500 0.7500 0.5000
O: 0.5000 0.2500 0.7500
O: 0.0000 0.7373 0.7373
O: 0.5000 0.7500 0.2500
O: 0.0000 0.2627 0.2627

uncorrected formation energy	-2072	meV/atom
symmetry	Im-3m (229)
total energy	-7.179	eV/atom


[7]
This record from Alexandria via LeMat-Bulk describes crystalline PmGeHRh2 at its relaxed geometry. The functional is PBE.

a b c (Å): 3.8663 5.7824 7.3152
angles (deg): 90.00 90.00 109.53
Positions (direct):
Pm: 0.4444 0.8888 0.7500
Pm: 0.5556 0.1112 0.2500
Ge: 0.7249 0.4497 0.7500
Ge: 0.2751 0.5503 0.2500
H: 0.0000 0.0000 0.0000
H: 0.0000 0.0000 0.5000
Rh: 0.1560 0.3120 0.9471
Rh: 0.8440 0.6880 0.0529
Rh: 0.1560 0.3120 0.5529
Rh: 0.8440 0.6880 0.4471

symmetry	Cmcm (63)
total energy	-6.223	eV/atom


[8]
This record from Alexandria via LeMat-Bulk describes crystalline Na2CrCl5 at its relaxed geometry. The functional is PBE.

a b c (Å): 4.8799 7.3812 12.8092
angles (deg): 90.00 90.00 109.30
Last column: magnetic moment on the atom in μB.
Positions (direct):
Na: 0.8531 0.7062 0.4362  0.00
Na: 0.8531 0.7062 0.0638  0.00
Na: 0.1469 0.2938 0.5638  0.00
Na: 0.1469 0.2938 0.9362  0.00
Cr: 0.8355 0.6710 0.7500  2.85
Cr: 0.1645 0.3290 0.2500  2.85
Cl: 0.9521 0.9042 0.8770  -0.01
Cl: 0.9521 0.9042 0.6230  -0.01
Cl: 0.2847 0.5694 0.3846  -0.02
Cl: 0.2847 0.5694 0.1154  -0.02
Cl: 0.6895 0.3790 0.2500  -0.04
Cl: 0.3105 0.6210 0.7500  -0.04
Cl: 0.7153 0.4306 0.6154  -0.02
Cl: 0.7153 0.4306 0.8846  -0.02
Cl: 0.0479 0.0958 0.1230  -0.01
Cl: 0.0479 0.0958 0.3770  -0.01

uncorrected formation energy	-1393	meV/atom
symmetry	Cmcm (63)
total energy	-4.080	eV/atom


[9]
This record from Alexandria via LeMat-Bulk describes crystalline PrNd2Cd at its relaxed geometry. The functional is PBE.

a b c (Å): 3.7637 3.7637 9.0983
angles (deg): 90.00 90.00 90.00
Positions (direct):
Pr: 0.5000 0.5000 0.5000
Nd: 0.0000 0.0000 0.7784
Nd: 0.0000 0.0000 0.2216
Cd: 0.5000 0.5000 0.0000

ΔE to the lowest computed polymorph	0.000	eV per atom
symmetry	P4/mmm (123)
formation energy	-153	meV/atom
total energy	-3.960	eV/atom


[10]
This record from Alexandria via LeMat-Bulk describes crystalline AsRhSe2 at its relaxed geometry. The functional is PBE.

a b c (Å): 8.2417 8.2417 8.2417
angles (deg): 25.51 25.51 25.51
Positions (direct):
As: 0.0000 0.0000 0.0000
Rh: 0.5000 0.5000 0.5000
Se: 0.8891 0.8891 0.8891
Se: 0.1109 0.1109 0.1109

uncorrected formation energy	-46	meV/atom
symmetry	R-3m (166)
total energy	-4.789	eV/atom


[11]
This record from Alexandria via LeMat-Bulk describes crystalline Pm2Tm5Sc2 at its relaxed geometry. The functional is PBE.

a b c (Å): 6.6680 16.3797 8.7087
angles (deg): 18.90 80.54 89.65
Positions (direct):
Pm: 0.7016 0.6306 0.3898
Pm: 0.2984 0.3694 0.6102
Tm: 0.1293 0.4826 0.7883
Tm: 0.5765 0.2123 0.4592
Tm: 0.4235 0.7877 0.5408
Tm: 0.8707 0.5174 0.2117
Tm: 0.0000 0.0000 0.0000
Sc: 0.2525 0.9622 0.6295
Sc: 0.7475 0.0378 0.3705

ΔE to the lowest computed polymorph	0.000	eV per atom
symmetry	P-1 (2)
formation energy	88	meV/atom
total energy	-4.859	eV/atom


[12]
This record from Alexandria via LeMat-Bulk describes crystalline LaMg6Cd2 at its relaxed geometry. The functional is PBE.

a b c (Å): 4.5095 4.5095 10.9864
angles (deg): 90.00 90.00 90.00
Positions (direct):
La: 0.0000 0.0000 0.0000
Mg: 0.0000 0.5000 0.2931
Mg: 0.5000 0.0000 0.2931
Mg: 0.0000 0.5000 0.7069
Mg: 0.5000 0.0000 0.7069
Mg: 0.5000 0.5000 0.5000
Mg: 0.0000 0.0000 0.5000
Cd: 0.5000 0.5000 0.1279
Cd: 0.5000 0.5000 0.8721

symmetry	P4/mmm (123)
formation energy	-128	meV/atom
total energy	-1.942	eV/atom


[13]
This record from Alexandria via LeMat-Bulk describes crystalline NbTeBr at its relaxed geometry. The functional is PBE.

a b c (Å): 8.0462 8.0462 6.4204
angles (deg): 75.50 75.50 25.11
Positions (direct):
Nb: 0.2461 0.2461 0.6888
Nb: 0.7539 0.7539 0.3112
Te: 0.6099 0.6099 0.6603
Te: 0.3901 0.3901 0.3397
Br: 0.8449 0.8449 0.8648
Br: 0.1551 0.1551 0.1352

ΔE to the lowest computed polymorph	0.000	eV per atom
uncorrected formation energy	-673	meV/atom
symmetry	C2/m (12)
total energy	-5.634	eV/atom


[14]
This record from Alexandria via LeMat-Bulk describes crystalline KSc2Al at its relaxed geometry. The functional is PBE.

a b c (Å): 5.7976 5.7976 3.2514
angles (deg): 90.00 90.00 108.50
Last column: magnetic moment on the atom in μB.
Positions (direct):
Sc: 0.0000 0.0000 0.0000  0.40
Sc: 0.5000 0.5000 0.0000  0.40
K: 0.0000 0.5000 0.5000  0.04
Al: 0.5000 0.0000 0.5000  0.00

symmetry	Cmmm (65)
formation energy	537	meV/atom
total energy	-3.839	eV/atom


[15]
This record from Alexandria via LeMat-Bulk describes crystalline NbBi3Pd at its relaxed geometry. The functional is PBE.

a b c (Å): 5.4463 5.4463 5.4463
angles (deg): 90.00 90.00 90.00
Positions (direct):
Nb: 0.0000 0.0000 0.0000
Bi: 0.0000 0.5000 0.0000
Bi: 0.0000 0.0000 0.5000
Bi: 0.5000 0.0000 0.0000
Pd: 0.5000 0.5000 0.5000

ΔE to the lowest computed polymorph	0.000	eV per atom
symmetry	Pm-3m (221)
formation energy	657	meV/atom
total energy	-4.724	eV/atom


[16]
This record from Alexandria via LeMat-Bulk describes crystalline CsScTi at its relaxed geometry. The functional is PBE.

a b c (Å): 27.7844 13.9324 13.9324
angles (deg): 162.13 167.64 12.36
Positions (direct):
Cs: 0.0989 0.5907 0.4093
Cs: 0.6011 0.7565 0.2435
Sc: 0.6287 0.4392 0.5608
Sc: 0.1213 0.8582 0.1418
Ti: 0.6231 0.8712 0.1288
Ti: 0.1288 0.4244 0.5756

ΔE to the lowest computed polymorph	0.000	eV per atom
symmetry	Cm (8)
formation energy	371	meV/atom
total energy	-4.656	eV/atom


[17]
This record from Alexandria via LeMat-Bulk describes crystalline Li4Mg3Ga2 at its relaxed geometry. The functional is PBE.

a b c (Å): 4.5576 5.4288 8.6414
angles (deg): 61.46 90.00 65.18
Positions (direct):
Li: 0.6536 0.6927 0.8895
Li: 0.9869 0.0262 0.3318
Li: 0.0131 0.9738 0.6682
Li: 0.3464 0.3073 0.1105
Mg: 0.3231 0.3538 0.4405
Mg: 0.0000 0.0000 0.0000
Mg: 0.6769 0.6462 0.5595
Ga: 0.3282 0.3436 0.7780
Ga: 0.6718 0.6564 0.2220

ΔE to the lowest computed polymorph	0.000	eV per atom
symmetry	C2/m (12)
formation energy	-180	meV/atom
total energy	-2.234	eV/atom


[18]
This record from Alexandria via LeMat-Bulk describes crystalline KCrMo2 at its relaxed geometry. The functional is PBE.

a b c (Å): 4.5441 4.5441 4.5441
angles (deg): 60.00 60.00 60.00
Positions (direct):
Cr: 0.5000 0.5000 0.5000
Mo: 0.2500 0.2500 0.2500
Mo: 0.7500 0.7500 0.7500
K: 0.0000 0.0000 0.0000

ΔE to the lowest computed polymorph	0.886	eV per atom
symmetry	Fm-3m (225)
formation energy	1693	meV/atom
total energy	-6.402	eV/atom


[19]
This record from Alexandria via LeMat-Bulk describes crystalline Nd6Ge2Te3Se at its relaxed geometry. The functional is PBE.

a b c (Å): 4.3659 8.8862 9.8999
angles (deg): 104.33 102.74 90.00
Positions (direct):
Nd: 0.3358 0.8971 0.6716
Nd: 0.6725 0.5683 0.3449
Nd: 0.6642 0.1029 0.3284
Nd: 0.0091 0.2418 0.0182
Nd: 0.9909 0.7582 0.9818
Nd: 0.3275 0.4317 0.6551
Ge: 0.8336 0.6683 0.6671
Ge: 0.1664 0.3317 0.3329
Te: 0.5000 0.5000 0.0000
Te: 0.8355 0.1662 0.6709
Te: 0.1645 0.8338 0.3291
Se: 0.5000 0.0000 0.0000

uncorrected formation energy	-1392	meV/atom
symmetry	C2/m (12)
total energy	-5.622	eV/atom


[20]
This record from Alexandria via LeMat-Bulk describes crystalline K2Sr2NbO6 at its relaxed geometry. The functional is PBE.

a b c (Å): 6.1130 6.1130 6.6149
angles (deg): 98.58 98.58 118.75
Last column: magnetic moment on the atom in μB.
Positions (direct):
K: 0.8395 0.1605 0.0000  0.00
K: 0.1605 0.8395 0.0000  0.00
Sr: 0.3388 0.6612 0.5000  0.00
Sr: 0.6612 0.3388 0.5000  0.00
Nb: 0.0000 0.0000 0.5000  -0.07
O: 0.7856 0.7856 0.6803  0.10
O: 0.0478 0.3319 0.6776  0.19
O: 0.2144 0.2144 0.3197  0.10
O: 0.3319 0.0478 0.6776  0.19
O: 0.9522 0.6681 0.3224  0.19
O: 0.6681 0.9522 0.3224  0.19

uncorrected formation energy	-2252	meV/atom
symmetry	C2/m (12)
total energy	-6.377	eV/atom


[21]
This record from Alexandria via LeMat-Bulk describes crystalline Gd2DyY at its relaxed geometry. The functional is PBE.

a b c (Å): 3.5678 3.5678 10.0969
angles (deg): 90.00 90.00 90.00
Last column: magnetic moment on the atom in μB.
Positions (direct):
Y: 0.5000 0.5000 0.5000  0.07
Gd: 0.0000 0.0000 0.7520  -7.12
Gd: 0.0000 0.0000 0.2480  -7.12
Dy: 0.5000 0.5000 0.0000  0.06

ΔE to the lowest computed polymorph	0.002	eV per atom
symmetry	P4/mmm (123)
formation energy	28	meV/atom
total energy	-9.779	eV/atom


[22]
This record from Alexandria via LeMat-Bulk describes crystalline NaHo3Er2Te6 at its relaxed geometry. The functional is PBE.

a b c (Å): 4.3326 8.7526 9.7500
angles (deg): 103.24 102.84 90.00
Positions (direct):
Na: 0.5000 0.0000 0.0000
Ho: 0.5000 0.5000 0.0000
Ho: 0.8368 0.1761 0.6736
Ho: 0.1632 0.8239 0.3264
Er: 0.8308 0.6577 0.6616
Er: 0.1692 0.3423 0.3384
Te: 0.3307 0.9151 0.6613
Te: 0.6657 0.5826 0.3314
Te: 0.6693 0.0849 0.3387
Te: 0.0029 0.2528 0.0059
Te: 0.9971 0.7472 0.9941
Te: 0.3343 0.4174 0.6686

uncorrected formation energy	-1262	meV/atom
symmetry	C2/m (12)
total energy	-4.847	eV/atom


[23]
This record from Alexandria via LeMat-Bulk describes crystalline LiBiAu2 at its relaxed geometry. The functional is PBE.

a b c (Å): 4.1677 4.2343 9.5675
angles (deg): 90.00 102.58 90.00
Positions (direct):
Li: 0.9472 0.7500 0.8943
Li: 0.0528 0.2500 0.1057
Bi: 0.3182 0.7500 0.6365
Bi: 0.6818 0.2500 0.3635
Au: 0.1579 0.7500 0.3158
Au: 0.8421 0.2500 0.6842
Au: 0.5495 0.7500 0.0990
Au: 0.4505 0.2500 0.9010

ΔE to the lowest computed polymorph	0.000	eV per atom
symmetry	Cmcm (63)
formation energy	-286	meV/atom
total energy	-3.373	eV/atom